The following is a PBE with a Hubbard U calculation of a relaxed structure of V2FeSiO6, from the Alexandria database.

volume	101	Å³ per cell
spin magnetization	8.0	μB per cell
energy	-7.638	eV/atom

Unit cell a=5.026 b=5.030 c=5.391 alpha=116.66 beta=91.84 gamma=118.74
Positions (direct):
V1 0.000 0.000 0.000
V2 0.482 0.978 0.470
Fe1 0.286 0.559 0.852
Si1 0.800 0.593 0.397
O1 0.047 0.479 0.205
O2 0.171 0.040 0.658
O3 0.441 0.154 0.206
O4 0.613 0.777 0.659
O5 0.706 0.759 0.197
O6 0.888 0.491 0.668